Entry 1:
A plane-wave DFT calculation with GGA-PBE was carried out for a relaxed structure of DyHo2Si2.

## Properties
Uncorrected formation energy: -0.591 eV/atom
Space group: C2/m, No. 12
Crystal system: monoclinic

Cell: 4.303 6.418 9.529 Å, 77.61 76.95 70.42°
Sites, in units of the cell vectors:
1 Dy 0.781 0.080 0.358
2 Dy 0.219 0.920 0.642
3 Ho 0.683 0.721 0.913
4 Ho 0.517 0.655 0.312
5 Ho 0.483 0.345 0.688
6 Ho 0.317 0.279 0.087
7 Si 0.111 0.338 0.439
8 Si 0.889 0.662 0.561
9 Si 0.973 0.155 0.898
10 Si 0.027 0.845 0.102


Entry 2:
A plane-wave DFT calculation with GGA-PBE was carried out for a relaxed structure of Ac6GaRh2.

## Properties
Energy of formation: -0.3454 eV/atom
Space group: C2/m, No. 12
Crystal system: monoclinic

Cell: 5.719 7.626 9.156 Å, 73.56 71.80 67.98°
Sites, in units of the cell vectors:
1 Ac 0.018 0.161 0.803
2 Ac 0.281 0.314 0.125
3 Ac 0.647 0.245 0.460
4 Ac 0.719 0.686 0.875
5 Ac 0.982 0.839 0.197
6 Ac 0.353 0.755 0.540
7 Rh 0.812 0.267 0.109
8 Rh 0.188 0.733 0.891
9 Ga 0.000 0.500 0.500


Entry 3:
A plane-wave DFT calculation with GGA-PBE was carried out for a relaxed structure of SrCdP2Cl.

## Properties
Uncorrected formation energy: -0.202 eV/atom
Space group: P4/mmm, No. 123
Crystal system: tetragonal

Cell: 4.907 4.907 5.668 Å, 90.00 90.00 90.00°
Last column: magnetic moment on the atom in μB.
Sites, in units of the cell vectors:
1 P 0.500 0.000 0.000  0.07
2 P 0.000 0.500 0.000  0.07
3 Cd 0.000 0.000 0.000  0.01
4 Cl 0.000 0.000 0.500  0.02
5 Sr 0.500 0.500 0.500  0.00


Entry 4:
A plane-wave DFT calculation with GGA-PBE was carried out for a relaxed structure of Zr2MoCl.

## Properties
Uncorrected formation energy: 0.072 eV/atom
Space group: Imm2, No. 44
Crystal system: orthorhombic

Cell: 5.966 5.966 5.966 Å, 147.78 136.22 55.39°
Sites, in units of the cell vectors:
1 Mo 0.255 0.755 0.500
2 Cl 0.456 0.456 0.000
3 Zr 0.762 0.262 0.500
4 Zr 0.028 0.028 0.000


Entry 5:
A plane-wave DFT calculation with GGA-PBE was carried out for a relaxed structure of Tb12Nd6Ho.

## Properties
Energy of formation: 0.1239 eV/atom
Space group: R-3m, No. 166
Crystal system: trigonal

Cell: 8.727 8.727 8.727 Å, 79.45 79.45 79.45°
Sites, in units of the cell vectors:
1 Ho 0.000 0.000 0.000
2 Nd 0.232 0.837 0.232
3 Nd 0.163 0.768 0.768
4 Nd 0.837 0.232 0.232
5 Nd 0.232 0.232 0.837
6 Nd 0.768 0.768 0.163
7 Nd 0.768 0.163 0.768
8 Tb 0.486 0.804 0.486
9 Tb 0.804 0.486 0.486
10 Tb 0.863 0.863 0.512
11 Tb 0.514 0.196 0.514
12 Tb 0.512 0.863 0.863
13 Tb 0.488 0.137 0.137
14 Tb 0.863 0.512 0.863
15 Tb 0.196 0.514 0.514
16 Tb 0.514 0.514 0.196
17 Tb 0.486 0.486 0.804
18 Tb 0.137 0.488 0.137
19 Tb 0.137 0.137 0.488


Entry 6:
A plane-wave DFT calculation with GGA-PBE was carried out for a relaxed structure of CaLa2TbBi4.

## Properties
Energy of formation: -0.8912 eV/atom
Space group: P2/m, No. 10
Crystal system: monoclinic

Cell: 4.656 8.111 7.919 Å, 109.74 90.00 90.00°
Sites, in units of the cell vectors:
1 La 0.500 0.000 0.500
2 La 0.000 0.500 0.500
3 Tb 0.000 0.000 0.000
4 Bi 0.500 0.757 0.760
5 Bi 0.500 0.243 0.240
6 Bi 0.000 0.248 0.757
7 Bi 0.000 0.752 0.243
8 Ca 0.500 0.500 0.000


> Number 6 is which compound?

CaLa2TbBi4


> What is the formula in the fifth record?

Tb12Nd6Ho